This record from the Alexandria database describes a crystal of PtRh3Cl relaxed with PBEsol. The functional is meta-GGA SCAN.

Cell lengths 4.7509, 4.7509, 4.7509 Å; angles 90.00, 90.00, 90.00 degrees
Space group Pm-3m (No. 221)
Symmetry-distinct sites (fractional):
Pt: 0.0000 0.0000 0.0000 x1
Rh: 0.0000 0.0000 0.5000 x3
Cl: 0.5000 0.5000 0.5000 x1

* uncorrected energy: -34.474 eV per atom
* M_tot: 3.95 μB per formula unit
* crystal system: cubic
* calculated volume: 21.446 Å³ per atom
* E_form (uncorrected): 1.423 eV per atom
* D(E_F): 5.99 states/eV/cell